The following is a GGA-PBE calculation of a relaxed KZrZn crystal, from the Alexandria database.

Output
Energy ... -2.07 eV/atom
Symmetry ... No. 216
Energy relative to the lowest polymorph listed for this composition ... 3.72 eV/f.u.
Calculated formation energy ... 1.57 eV per atom
N(E_F) ... 3.6 states/eV/f.u.

a = 4.8987 Å, b = 4.8987 Å, c = 4.8987 Å
α = 60.00°, β = 60.00°, γ = 60.00°
Fractional positions:
K: 0.0000 0.0000 0.0000
Zr: 0.2500 0.2500 0.2500
Zn: 0.7500 0.7500 0.7500

=====

The following is a GGA-PBE calculation of a relaxed KZr2Zn crystal, from the Alexandria database.

Output
Energy ... -4.40 eV/atom
Symmetry ... No. 8
Calculated formation energy ... 0.46 eV per atom
N(E_F) ... 3.4 states/eV/f.u.

a = 5.4266 Å, b = 5.4266 Å, c = 7.3164 Å
α = 98.45°, β = 98.45°, γ = 33.58°
Fractional positions:
K: 0.0000 0.0000 0.0000
Zr: 0.5219 0.5219 0.5014
Zr: 0.7858 0.7858 0.3958
Zn: 0.2416 0.2416 0.7000

=====

The following is a GGA-PBE calculation of a relaxed K2ZrZn crystal, from the Alexandria database.

Output
Energy ... -2.60 eV/atom
Symmetry ... No. 71
Calculated formation energy ... 0.41 eV per atom
N(E_F) ... 4.2 states/eV/f.u.

a = 10.8018 Å, b = 10.8018 Å, c = 10.8018 Å
α = 162.44°, β = 155.79°, γ = 30.06°
Fractional positions:
K: 0.1502 0.1502 0.0000
K: 0.8498 0.8498 0.0000
Zr: 0.5000 0.0000 0.5000
Zn: 0.0000 0.5000 0.5000

=====

| no. | magnetic moment (μB/f.u.) |
| --- | --- |
| 1 | 0.00 |
| 2 | 0.00 |
| 3 | 0.00 |